Computed, not measured: a geometry-optimized SrMg2VI structure at the PBE-GGA level of DFT.

Geometry as POSCAR:
```
SrMg2VI
1.0
6.6445 0.0000 0.0000
0.0000 6.6445 0.0000
0.0000 0.0000 6.0704
Sr Mg V I
1 2 1 1
Direct
0.0000 0.0000 0.0000 Sr
0.0000 0.5000 0.0000 Mg
0.5000 0.0000 0.0000 Mg
0.5000 0.5000 0.5000 V
0.0000 0.0000 0.5000 I
```

Results
The value obtained for the raw total energy is -1.777 eV per atom. The formation energy from raw total energies comes out at 1331 meV/atom.